# 1
The following is a DFT calculation (PBE-GGA) of crystalline Cd2H6IrPd at its relaxed geometry.

Unit cell a=5.303 b=5.293 c=5.096 alpha=119.41 beta=121.85 gamma=77.17
Positions (direct):
Cd 0.672 0.119 0.394
Cd 0.293 0.627 0.328
H 0.835 0.800 0.058
H 0.795 0.861 0.699
H 0.123 0.180 0.914
H 0.782 0.328 0.145
H 0.220 0.235 0.563
H 0.222 0.775 0.912
Ir 0.038 0.059 0.101
Pd 0.518 0.521 0.885

DFT total energy = -3.5765 eV per atom
space-group type = P1 (1)

=====

# 2
The following is a DFT calculation (PBE-GGA) of crystalline Sr3Mn4 at its relaxed geometry.

Unit cell a=7.021 b=7.021 c=5.223 alpha=90.00 beta=90.00 gamma=120.00
Site moments in Bohr magnetons follow the coordinates.
Positions (direct):
Sr 0.000 0.500 0.000  -0.07
Sr 0.500 0.500 0.000  -0.07
Sr 0.500 0.000 0.000  -0.07
Mn 0.000 0.000 0.248  3.92
Mn 0.000 0.000 0.752  3.92
Mn 0.667 0.333 0.500  4.04
Mn 0.333 0.667 0.500  4.04

DFT total energy = -4.8517 eV per atom
space-group type = P6/mmm (191)

=====

# 3
The following is a DFT calculation (PBE-GGA) of crystalline La2Te at its relaxed geometry.

Unit cell a=4.572 b=4.572 c=9.312 alpha=90.00 beta=90.00 gamma=90.00
Positions (direct):
Te 0.000 0.500 0.777
Te 0.500 0.000 0.223
La 0.000 0.000 0.500
La 0.500 0.500 0.500
La 0.000 0.500 0.134
La 0.500 0.000 0.866

formation energy from raw total energies = -2.962 eV/f.u.
space-group type = P4/nmm (129)

=====

# 4
The following is a DFT calculation (PBE-GGA) of crystalline BeAlPtRh at its relaxed geometry.

Unit cell a=4.152 b=4.152 c=4.152 alpha=60.00 beta=60.00 gamma=60.00
Positions (direct):
Be 0.500 0.500 0.500
Rh 0.250 0.250 0.250
Al 0.000 0.000 0.000
Pt 0.750 0.750 0.750

DFT total energy = -6.1062 eV per atom
space-group type = F-43m (216)

=====

# 5
The following is a DFT calculation (PBE-GGA) of crystalline Cs2YTlI6 at its relaxed geometry.

Unit cell a=9.047 b=9.047 c=9.047 alpha=60.00 beta=60.00 gamma=60.00
Positions (direct):
Cs 0.750 0.750 0.750
Cs 0.250 0.250 0.250
Y 0.000 0.000 0.000
Tl 0.500 0.500 0.500
I 0.763 0.237 0.237
I 0.237 0.237 0.763
I 0.237 0.763 0.763
I 0.237 0.763 0.237
I 0.763 0.237 0.763
I 0.763 0.763 0.237

energy above the lowest structure with this stoichiometry = 5 meV/atom
formation energy from raw total energies = -13.170 eV/f.u.
space-group type = Fm-3m (225)

=====

# 6
The following is a DFT calculation (PBE-GGA) of crystalline Na3PuSb2Se6 at its relaxed geometry.

Unit cell a=7.265 b=7.265 c=7.424 alpha=99.37 beta=99.37 gamma=120.03
Site moments in Bohr magnetons follow the coordinates.
Positions (direct):
Na 0.171 0.829 0.500  0.00
Na 0.829 0.171 0.500  0.00
Na 0.500 0.500 0.500  0.00
Pu 0.000 0.000 0.000  -5.09
Sb 0.334 0.666 0.000  -0.01
Sb 0.666 0.334 0.000  -0.01
Se 0.923 0.588 0.769  0.03
Se 0.742 0.742 0.233  0.03
Se 0.077 0.412 0.231  0.03
Se 0.588 0.923 0.769  0.03
Se 0.258 0.258 0.767  0.03
Se 0.412 0.077 0.231  0.03

formation energy from raw total energies = -10.539 eV/f.u.
space-group type = C2/m (12)

=====

# 7
The following is a DFT calculation (PBE-GGA) of crystalline HfAlHRh2 at its relaxed geometry.

Unit cell a=4.088 b=4.088 c=3.936 alpha=90.00 beta=90.00 gamma=90.00
Positions (direct):
Rh 0.000 0.500 0.000
Rh 0.500 0.000 0.000
Hf 0.000 0.000 0.500
Al 0.500 0.500 0.500
H 0.000 0.000 0.000

DFT total energy = -6.9386 eV per atom
space-group type = P4/mmm (123)

=====

# 8
The following is a DFT calculation (PBE-GGA) of crystalline TmTlAg2 at its relaxed geometry.

Unit cell a=3.755 b=3.755 c=6.523 alpha=90.00 beta=90.00 gamma=90.00
Positions (direct):
Tl 0.500 0.500 0.500
Tm 0.500 0.500 0.000
Ag 0.000 0.000 0.770
Ag 0.000 0.000 0.230

DFT total energy = -3.2949 eV per atom
space-group type = P4/mmm (123)

=====

# 9
The following is a DFT calculation (PBE-GGA) of crystalline PmTmTlAg at its relaxed geometry.

Unit cell a=5.301 b=5.301 c=5.301 alpha=60.00 beta=60.00 gamma=60.00
Positions (direct):
Tl 0.750 0.750 0.750
Tm 0.500 0.500 0.500
Ag 0.250 0.250 0.250
Pm 0.000 0.000 0.000

energy above the lowest structure with this stoichiometry = 12 meV/atom
space-group type = F-43m (216)

=====

# 10
The following is a DFT calculation (PBE-GGA) of crystalline KAlSN2 at its relaxed geometry.

Unit cell a=4.897 b=4.897 c=6.060 alpha=90.00 beta=90.00 gamma=90.00
Site moments in Bohr magnetons follow the coordinates.
Positions (direct):
K 0.000 0.000 0.000  0.09
N 0.000 0.500 0.000  1.70
N 0.500 0.000 0.000  1.70
S 0.000 0.000 0.500  0.42
Al 0.500 0.500 0.500  0.04

energy above the lowest structure with this stoichiometry = 1673 meV/atom
formation energy from raw total energies = 10.671 eV/f.u.
space-group type = P4/mmm (123)

=====

# 11
The following is a DFT calculation (PBE-GGA) of crystalline InNiCl2 at its relaxed geometry.

Unit cell a=3.244 b=3.244 c=8.328 alpha=90.00 beta=90.00 gamma=90.00
Positions (direct):
Ni 0.500 0.500 0.734
Cl 0.000 0.000 0.894
Cl 0.500 0.500 0.329
In 0.000 0.000 0.543

energy above the lowest structure with this stoichiometry = 294 meV/atom
formation energy from raw total energies = -0.714 eV/f.u.
space-group type = P4mm (99)

=====

# 12
The following is a DFT calculation (PBE-GGA) of crystalline BaPuP at its relaxed geometry.

Unit cell a=6.855 b=4.252 c=4.252 alpha=120.00 beta=90.00 gamma=90.00
Site moments in Bohr magnetons follow the coordinates.
Positions (direct):
P 0.037 0.000 0.000  -0.08
Ba 0.734 0.667 0.333  0.19
Pu 0.229 0.333 0.667  5.53

DFT total energy = -7.7250 eV per atom
space-group type = P3m1 (156)

=====

# 13
The following is a DFT calculation (PBE-GGA) of crystalline CaInHgSb at its relaxed geometry.

Unit cell a=5.455 b=5.455 c=5.455 alpha=60.00 beta=60.00 gamma=60.00
Positions (direct):
Sb 0.750 0.750 0.750
Ca 0.500 0.500 0.500
Hg 0.250 0.250 0.250
In 0.000 0.000 0.000

energy above the lowest structure with this stoichiometry = 60 meV/atom
formation energy from raw total energies = -1.525 eV/f.u.
space-group type = F-43m (216)

=====

# 14
The following is a DFT calculation (PBE-GGA) of crystalline CeInCl6 at its relaxed geometry.

Unit cell a=6.667 b=6.667 c=7.226 alpha=62.52 beta=62.52 gamma=59.99
Site moments in Bohr magnetons follow the coordinates.
Positions (direct):
Ce 0.000 0.000 0.000  0.94
In 0.500 0.500 0.500  0.02
Cl 0.105 0.418 0.741  0.00
Cl 0.736 0.105 0.741  0.00
Cl 0.582 0.264 0.259  0.00
Cl 0.264 0.895 0.259  0.00
Cl 0.895 0.582 0.259  0.00
Cl 0.418 0.736 0.741  0.00

energy above the lowest structure with this stoichiometry = 4 meV/atom
formation energy from raw total energies = -12.767 eV/f.u.
space-group type = R-3 (148)

=====

# 15
The following is a DFT calculation (PBE-GGA) of crystalline BaMgCu2 at its relaxed geometry.

Unit cell a=4.580 b=6.150 c=7.254 alpha=90.00 beta=90.00 gamma=90.00
Positions (direct):
Ba 0.500 0.877 0.000
Ba 0.000 0.123 0.500
Mg 0.500 0.623 0.500
Mg 0.000 0.377 0.000
Cu 0.000 0.596 0.685
Cu 0.500 0.404 0.815
Cu 0.000 0.596 0.315
Cu 0.500 0.404 0.185

DFT total energy = -2.9785 eV per atom
space-group type = Pmmn (59)

=====

# 16
The following is a DFT calculation (PBE-GGA) of crystalline HfCrCuS4 at its relaxed geometry.

Unit cell a=6.574 b=6.574 c=6.130 alpha=81.79 beta=81.79 gamma=31.66
Site moments in Bohr magnetons follow the coordinates.
Positions (direct):
Hf 0.245 0.245 0.781  0.04
Cr 0.749 0.749 0.276  2.80
Cu 0.532 0.532 0.341  0.02
S 0.355 0.355 0.393  -0.05
S 0.631 0.631 0.635  -0.01
S 0.858 0.858 0.917  -0.01
S 0.130 0.130 0.157  -0.03

energy above the lowest structure with this stoichiometry = 39 meV/atom
formation energy from raw total energies = -6.748 eV/f.u.
space-group type = Cm (8)

=====

# 17
The following is a DFT calculation (PBE-GGA) of crystalline Cs3Rb2Tl4 at its relaxed geometry.

Unit cell a=6.555 b=8.118 c=10.678 alpha=60.28 beta=72.83 gamma=66.42
Positions (direct):
Cs 0.507 0.249 0.732
Cs 0.000 0.000 0.000
Cs 0.493 0.751 0.268
Rb 0.751 0.165 0.334
Rb 0.249 0.835 0.666
Tl 0.257 0.393 0.088
Tl 0.901 0.583 0.610
Tl 0.099 0.417 0.390
Tl 0.743 0.607 0.912

DFT total energy = -1.5789 eV per atom
space-group type = P-1 (2)

=====

# 18
The following is a DFT calculation (PBE-GGA) of crystalline CaMgTa2 at its relaxed geometry.

Unit cell a=2.866 b=2.866 c=10.662 alpha=90.00 beta=90.00 gamma=106.94
Positions (direct):
Ca 0.500 0.500 0.250
Mg 0.500 0.500 0.750
Ta 0.000 0.000 0.985
Ta 0.000 0.000 0.515

DFT total energy = -6.2443 eV per atom
space-group type = Cmmm (65)

=====

# 19
The following is a DFT calculation (PBE-GGA) of crystalline BaSF2 at its relaxed geometry.

Unit cell a=4.569 b=4.569 c=8.721 alpha=74.81 beta=74.81 gamma=90.00
Positions (direct):
S 0.500 0.500 0.000
S 0.250 0.750 0.500
Ba 0.000 0.000 0.000
Ba 0.750 0.250 0.500
F 0.580 0.125 0.250
F 0.170 0.625 0.250
F 0.375 0.420 0.750
F 0.875 0.830 0.750

energy above the lowest structure with this stoichiometry = 418 meV/atom
formation energy from raw total energies = -7.760 eV/f.u.
space-group type = I-42d (122)

=====

# 20
The following is a DFT calculation (PBE-GGA) of crystalline YHoBi at its relaxed geometry.

Unit cell a=3.444 b=6.926 c=15.378 alpha=134.27 beta=90.00 gamma=104.40
Positions (direct):
Y 0.936 0.872 0.346
Y 0.064 0.128 0.654
Ho 0.695 0.390 0.371
Ho 0.305 0.610 0.629
Bi 0.858 0.716 0.840
Bi 0.142 0.284 0.160

DFT total energy = -4.9044 eV per atom
space-group type = C2/m (12)

=====

# 21
The following is a DFT calculation (PBE-GGA) of crystalline YZnCr2 at its relaxed geometry.

Unit cell a=8.778 b=8.778 c=8.778 alpha=19.92 beta=19.92 gamma=19.92
Positions (direct):
Cr 0.991 0.991 0.991
Cr 0.268 0.268 0.268
Y 0.504 0.504 0.504
Zn 0.737 0.737 0.737

DFT total energy = -6.2605 eV per atom
space-group type = R3m (160)

=====

# 22
The following is a DFT calculation (PBE-GGA) of crystalline MgAl3Ag4 at its relaxed geometry.

Unit cell a=4.743 b=4.869 c=6.845 alpha=109.93 beta=110.27 gamma=90.00
Positions (direct):
Mg 0.500 0.000 0.000
Al 0.000 0.500 0.000
Al 0.753 0.197 0.506
Al 0.247 0.803 0.494
Ag 0.374 0.410 0.748
Ag 0.626 0.590 0.252
Ag 0.130 0.179 0.259
Ag 0.870 0.821 0.741

DFT total energy = -3.1075 eV per atom
space-group type = C2/m (12)

=====

# 23
The following is a DFT calculation (PBE-GGA) of crystalline KNaPrTl at its relaxed geometry.

Unit cell a=5.644 b=5.644 c=5.644 alpha=60.00 beta=60.00 gamma=60.00
Positions (direct):
Pr 0.000 0.000 0.000
Na 0.500 0.500 0.500
Tl 0.750 0.750 0.750
K 0.250 0.250 0.250

DFT total energy = -2.3162 eV per atom
space-group type = F-43m (216)

=====

# 24
The following is a DFT calculation (PBE-GGA) of crystalline TiAlBO5 at its relaxed geometry.

Unit cell a=4.894 b=4.894 c=7.054 alpha=104.58 beta=104.58 gamma=103.34
Positions (direct):
Ti 0.000 0.000 0.500
Ti 0.000 0.000 0.000
Al 0.352 0.648 0.250
Al 0.648 0.352 0.750
B 0.680 0.320 0.250
B 0.320 0.680 0.750
O 0.116 0.884 0.250
O 0.884 0.116 0.750
O 0.927 0.341 0.164
O 0.073 0.659 0.836
O 0.659 0.073 0.336
O 0.341 0.927 0.664
O 0.705 0.601 0.410
O 0.295 0.399 0.590
O 0.399 0.295 0.090
O 0.601 0.705 0.910

formation energy from raw total energies = -20.668 eV/f.u.
space-group type = C2/c (15)

=====

# 25
The following is a DFT calculation (PBE-GGA) of crystalline Er6Tm2In at its relaxed geometry.

Unit cell a=6.288 b=9.339 c=9.339 alpha=92.06 beta=86.46 gamma=86.46
Positions (direct):
Er 0.922 0.530 0.672
Er 0.578 0.328 0.470
Er 0.078 0.470 0.328
Er 0.422 0.672 0.530
Er 0.904 0.810 0.405
Er 0.596 0.595 0.190
Er 0.096 0.190 0.595
Er 0.404 0.405 0.810
Er 0.075 0.688 0.035
Er 0.425 0.965 0.312
Er 0.925 0.312 0.965
Er 0.575 0.035 0.688
Tm 0.557 0.735 0.863
Tm 0.943 0.137 0.265
Tm 0.443 0.265 0.137
Tm 0.057 0.863 0.735
In 0.250 0.013 0.987
In 0.750 0.987 0.013

energy above the lowest structure with this stoichiometry = 0 meV/atom
space-group type = C2/c (15)